(1)
First-principles (PBE) data for a relaxed structure of CaMoPd, as listed in the Alexandria database.

Cell: 5.252 5.252 9.526 Å, 90.00 90.00 120.00°
Fractional positions:
Mo1 0.000 0.000 0.250
Mo2 0.000 0.000 0.750
Ca1 0.333 0.667 0.250
Ca2 0.667 0.333 0.750
Pd1 0.000 0.000 0.000
Pd2 0.000 0.000 0.500

Results
ΔH_f (0 K), eV/atom: 1.666
Total DFT energy (no corrections), eV/atom: -4.34
ΔE to the lowest computed polymorph, meV per atom: 1766



(2)
First-principles (PBE) data for a relaxed structure of AcHoZnNi, as listed in the Alexandria database.

Cell: 5.153 5.153 5.153 Å, 60.00 60.00 60.00°
Fractional positions:
Zn1 0.750 0.750 0.750
Ac1 0.000 0.000 0.000
Ho1 0.500 0.500 0.500
Ni1 0.250 0.250 0.250

Results
ΔH_f (0 K), eV/atom: -0.192
Total DFT energy (no corrections), eV/atom: -4.13



(3)
First-principles (PBE) data for a relaxed structure of PmHoPu, as listed in the Alexandria database.

Cell: 3.387 6.698 9.035 Å, 74.17 79.20 75.36°
Fractional positions:
Pu1 0.370 0.767 0.493
Pu2 0.630 0.233 0.507
Ho1 0.878 0.072 0.172
Ho2 0.122 0.928 0.828
Pm1 0.620 0.599 0.160
Pm2 0.380 0.401 0.840

Results
ΔH_f (0 K), eV/atom: 0.267
Total DFT energy (no corrections), eV/atom: -7.62
ΔE to the lowest computed polymorph, meV per atom: 147



(4)
First-principles (PBE) data for a relaxed structure of K3SiB, as listed in the Alexandria database.

Cell: 6.387 6.387 6.387 Å, 90.00 90.00 90.00°
Fractional positions:
K1 0.000 0.500 0.000
K2 0.000 0.000 0.500
K3 0.500 0.000 0.000
B1 0.500 0.500 0.500
Si1 0.000 0.000 0.000

Results
Raw formation energy, meV/atom: 1357
Total DFT energy (no corrections), eV/atom: -1.72



(5)
First-principles (PBE) data for a relaxed structure of TeAs2, as listed in the Alexandria database.

Cell: 6.201 6.201 9.811 Å, 90.00 90.00 120.00°
Fractional positions:
As1 0.000 0.000 0.000
As2 0.000 0.000 0.500
As3 0.854 0.707 0.250
As4 0.146 0.293 0.750
As5 0.293 0.146 0.250
As6 0.854 0.146 0.250
As7 0.146 0.854 0.750
As8 0.707 0.854 0.750
Te1 0.333 0.667 0.956
Te2 0.667 0.333 0.456
Te3 0.667 0.333 0.044
Te4 0.333 0.667 0.544

Results
Raw formation energy, meV/atom: 427
Total DFT energy (no corrections), eV/atom: -3.72



(6)
First-principles (PBE) data for a relaxed structure of Sr8Ni3N8, as listed in the Alexandria database.

Cell: 9.662 5.323 7.515 Å, 90.00 75.00 74.01°
Fractional positions:
Sr1 0.062 0.969 0.741
Sr2 0.938 0.031 0.259
Sr3 0.658 0.671 0.481
Sr4 0.342 0.329 0.519
Sr5 0.805 0.597 0.959
Sr6 0.195 0.403 0.041
Sr7 0.600 0.200 0.817
Sr8 0.400 0.800 0.183
Ni1 0.000 0.500 0.500
Ni2 0.373 0.813 0.794
Ni3 0.627 0.187 0.206
N1 0.205 0.898 0.996
N2 0.795 0.102 0.004
N3 0.355 0.823 0.561
N4 0.645 0.177 0.439
N5 0.560 0.720 0.835
N6 0.440 0.280 0.165
N7 0.052 0.474 0.709
N8 0.948 0.526 0.291

Results
Raw formation energy, meV/atom: -462
Total DFT energy (no corrections), eV/atom: -5.59



(7)
First-principles (PBE) data for a relaxed structure of Nb2MoBr, as listed in the Alexandria database.

Cell: 3.963 3.963 10.055 Å, 78.64 78.64 90.00°
Fractional positions:
Mo1 0.000 0.000 0.000
Mo2 0.750 0.250 0.500
Nb1 0.626 0.125 0.250
Nb2 0.124 0.625 0.250
Nb3 0.375 0.374 0.750
Nb4 0.875 0.876 0.750
Br1 0.500 0.500 0.000
Br2 0.250 0.750 0.500

Results
Raw formation energy, meV/atom: 981
Total DFT energy (no corrections), eV/atom: -7.18
ΔE to the lowest computed polymorph, meV per atom: 274



(8)
First-principles (PBE) data for a relaxed structure of RbHg, as listed in the Alexandria database.

Cell: 5.228 5.297 7.115 Å, 90.00 111.41 90.00°
Fractional positions:
Hg1 0.938 0.250 0.876
Hg2 0.062 0.750 0.124
Rb1 0.644 0.250 0.289
Rb2 0.356 0.750 0.711

Results
ΔH_f (0 K), eV/atom: -0.235
Total DFT energy (no corrections), eV/atom: -0.87